PBE BaHg4, optimized geometry; magnetic moment = 0.00 μB per cell; formation energy = -8.61 kcal/mol of atoms; relative energy among the computed polymorphs = 0 meV/atom; energy = -1.00 eV/atom; space group = I4/m (87)
1.0
5.889 0.011 0.000
-3.231 4.923 0.000
-1.329 -2.467 5.179
Ba Hg
1 4
Direct
0.000 0.000 0.000 Ba
0.800 0.484 0.284 Hg
0.484 0.200 0.685 Hg
0.200 0.516 0.716 Hg
0.516 0.800 0.315 Hg

PBE UGaIrO6, optimized geometry; magnetic moment = 0.00 μB per cell; raw formation energy = -1.867 eV per atom; energy = -7.75 eV/atom; space group = P-31c (163)
1.0
5.283 0.000 0.000
-2.641 4.575 0.000
0.000 0.000 8.751
U Ga Ir O
2 2 2 12
Direct
0.667 0.333 0.250 U
0.333 0.667 0.750 U
0.333 0.667 0.250 Ga
0.667 0.333 0.750 Ga
0.000 0.000 0.000 Ir
0.000 0.000 0.500 Ir
0.664 0.676 0.127 O
0.012 0.336 0.127 O
0.336 0.012 0.627 O
0.988 0.664 0.873 O
0.324 0.336 0.373 O
0.012 0.676 0.373 O
0.676 0.012 0.873 O
0.664 0.988 0.373 O
0.988 0.324 0.627 O
0.324 0.988 0.127 O
0.676 0.664 0.627 O
0.336 0.324 0.873 O

PBE HoTmTlPd, optimized geometry; magnetic moment = 0.00 μB per cell; formation energy = -12.82 kcal/mol of atoms; relative energy among the computed polymorphs = 72 meV/atom; energy = -4.71 eV/atom; space group = F-43m (216)
1.0
5.131 0.000 0.000
2.566 4.444 0.000
2.566 1.481 4.190
Tl Tm Ho Pd
1 1 1 1
Direct
0.000 0.000 0.000 Tl
0.750 0.750 0.750 Tm
0.250 0.250 0.250 Ho
0.500 0.500 0.500 Pd

PBE SrPPt4, optimized geometry; magnetic moment = 0.00 μB per cell; formation energy = -12.89 kcal/mol of atoms; relative energy among the computed polymorphs = 0 meV/atom; energy = -5.77 eV/atom; space group = Cmcm (63)
1.0
-3.609 -1.670 0.913
2.967 -3.794 4.785
0.539 6.420 4.757
Sr P Pt
2 2 8
Direct
0.103 0.250 0.205 Sr
0.897 0.750 0.795 Sr
0.240 0.750 0.480 P
0.760 0.250 0.520 P
0.500 0.500 0.000 Pt
0.500 0.000 0.000 Pt
0.687 0.954 0.374 Pt
0.313 0.046 0.626 Pt
0.313 0.454 0.626 Pt
0.687 0.546 0.374 Pt
0.091 0.750 0.183 Pt
0.909 0.250 0.817 Pt

PBE KNaHg2Ge, optimized geometry; magnetic moment = 0.00 μB per cell; formation energy = -0.78 kcal/mol of atoms; energy = -1.56 eV/atom; space group = P4/mmm (123)
1.0
-2.434 4.924 -0.823
-4.355 -1.647 3.028
2.455 1.984 4.611
K Na Ge Hg
1 1 1 2
Direct
0.500 0.500 0.500 K
0.000 0.000 0.500 Na
0.000 0.000 0.000 Ge
0.000 0.500 0.000 Hg
0.500 0.000 0.000 Hg

PBE La5Pr2NdDy, optimized geometry; magnetic moment = 0.00 μB per cell; formation energy = 5.85 kcal/mol of atoms; energy = -4.59 eV/atom; space group = I4/mcm (140)
1.0
9.093 0.000 0.000
0.000 9.093 0.000
-4.547 -4.547 7.901
La Pr Nd Dy
10 4 2 2
Direct
0.931 0.431 0.280 La
0.651 0.151 0.720 La
0.069 0.569 0.720 La
0.151 0.069 0.720 La
0.569 0.651 0.720 La
0.849 0.931 0.280 La
0.431 0.349 0.280 La
0.349 0.849 0.280 La
0.500 0.500 0.000 La
0.000 0.000 0.000 La
0.117 0.383 0.000 Pr
0.617 0.117 0.000 Pr
0.383 0.883 0.000 Pr
0.883 0.617 0.000 Pr
0.250 0.250 0.500 Nd
0.750 0.750 0.500 Nd
0.250 0.750 0.500 Dy
0.750 0.250 0.500 Dy

PBE Zn5Te3, optimized geometry; magnetic moment = 0.00 μB per cell; relative energy among the computed polymorphs = 0 meV/atom; raw formation energy = -0.144 eV per atom; energy = -2.12 eV/atom; space group = P-1 (2)
1.0
10.959 -1.565 1.223
4.485 6.288 0.570
6.666 -3.926 6.075
Zn Te
10 6
Direct
0.840 0.753 0.721 Zn
0.160 0.246 0.279 Zn
0.783 0.930 0.084 Zn
0.217 0.069 0.916 Zn
0.736 0.333 0.670 Zn
0.264 0.666 0.330 Zn
0.585 0.804 0.441 Zn
0.415 0.195 0.559 Zn
0.960 0.817 0.380 Zn
0.040 0.182 0.620 Zn
0.250 0.796 0.588 Te
0.750 0.204 0.412 Te
0.456 0.778 0.954 Te
0.544 0.221 0.046 Te
0.952 0.483 0.852 Te
0.048 0.516 0.148 Te

PBE USb2Pd, optimized geometry; magnetic moment = 1.81 μB per cell; relative energy among the computed polymorphs = 97 meV/atom; raw formation energy = -0.339 eV per atom; energy = -6.52 eV/atom; space group = P4/mmm (123)
1.0
3.965 0.000 0.000
0.000 4.746 0.000
0.000 0.000 4.746
Sb U Pd
2 1 1
Direct
0.000 0.000 0.500 Sb
0.000 0.500 0.000 Sb
0.500 0.500 0.500 U
0.500 0.000 0.000 Pd

PBE BeNb2Zn3, optimized geometry; magnetic moment = 0.00 μB per cell; formation energy = -3.28 kcal/mol of atoms; energy = -4.76 eV/atom; space group = P6_3/mmc (194)
1.0
5.004 0.000 0.000
-2.502 4.333 0.000
0.000 0.000 7.905
Be Nb Zn
2 4 6
Direct
0.000 0.000 0.500 Be
0.000 0.000 0.000 Be
0.667 0.333 0.432 Nb
0.333 0.667 0.568 Nb
0.333 0.667 0.932 Nb
0.667 0.333 0.068 Nb
0.169 0.338 0.250 Zn
0.338 0.169 0.750 Zn
0.831 0.662 0.750 Zn
0.169 0.831 0.250 Zn
0.831 0.169 0.750 Zn
0.662 0.831 0.250 Zn

PBE NdTm2Ni, optimized geometry; magnetic moment = 0.00 μB per cell; formation energy = -3.21 kcal/mol of atoms; relative energy among the computed polymorphs = 73 meV/atom; energy = -5.01 eV/atom; space group = R3m (160)
1.0
3.802 0.000 0.000
1.901 3.292 0.000
1.901 1.097 8.865
Nd Tm Ni
1 2 1
Direct
0.502 0.502 0.494 Nd
0.056 0.056 0.831 Tm
0.276 0.276 0.172 Tm
0.665 0.665 0.004 Ni

PBE LaPuPb, optimized geometry; magnetic moment = 13.72 μB per cell; formation energy = -7.42 kcal/mol of atoms; relative energy among the computed polymorphs = 0 meV/atom; energy = -7.98 eV/atom; space group = P6_3/mmc (194)
1.0
5.695 -0.001 0.000
-2.847 4.933 0.000
0.000 0.000 6.598
La Pu Pb
2 2 2
Direct
0.333 0.167 0.750 La
0.667 0.833 0.250 La
0.000 0.500 0.000 Pu
0.000 0.500 0.500 Pu
0.667 0.833 0.750 Pb
0.333 0.167 0.250 Pb

PBE Cs2NaAlI6, optimized geometry; magnetic moment = 0.00 μB per cell; relative energy among the computed polymorphs = 25 meV/atom; raw formation energy = -1.097 eV per atom; energy = -2.70 eV/atom; space group = Fm-3m (225)
1.0
8.479 0.000 0.000
0.000 8.479 0.000
4.240 4.240 5.996
Cs I Al Na
2 6 1 1
Direct
0.750 0.250 0.500 Cs
0.250 0.750 0.500 Cs
0.233 0.233 0.534 I
0.767 0.767 0.466 I
0.233 0.233 0.000 I
0.767 0.767 0.000 I
0.767 0.233 0.000 I
0.233 0.767 0.000 I
0.000 0.000 0.000 Al
0.500 0.500 0.000 Na

PBE KDyBi2, optimized geometry; magnetic moment = 0.00 μB per cell; formation energy = -8.58 kcal/mol of atoms; relative energy among the computed polymorphs = 150 meV/atom; energy = -3.74 eV/atom; space group = R-3m (166)
1.0
4.503 0.000 0.000
2.251 3.900 0.000
2.251 1.300 8.713
K Bi Dy
1 2 1
Direct
0.500 0.500 0.500 K
0.265 0.265 0.204 Bi
0.735 0.735 0.796 Bi
0.000 0.000 0.000 Dy

PBE Pm2Pr9Sc, optimized geometry; magnetic moment = 0.00 μB per cell; formation energy = 0.57 kcal/mol of atoms; energy = -4.88 eV/atom; space group = P4/mmm (123)
1.0
5.181 0.000 0.000
0.000 5.181 0.000
0.000 0.000 15.569
Pm Pr Sc
2 9 1
Direct
0.000 0.000 0.330 Pm
0.000 0.000 0.670 Pm
0.500 0.500 0.000 Pr
0.500 0.500 0.331 Pr
0.500 0.500 0.669 Pr
0.500 0.000 0.161 Pr
0.500 0.000 0.500 Pr
0.500 0.000 0.839 Pr
0.000 0.500 0.161 Pr
0.000 0.500 0.500 Pr
0.000 0.500 0.839 Pr
0.000 0.000 0.000 Sc